(1)
VASP calculation (GGA-PBEsol) on a geometry-optimized BaZrZn2 structure.

Formation energy (eV per atom): 0.24
Density of states at the Fermi level (states/eV per atom): 1.1087
Final energy (eV per atom): -3.359

Lattice parameters (Å, degrees): 5.1088 5.1088 5.1088 60.00 60.00 60.00
With the nearest neighbours (Å) after each atom.
Positions (direct):
Ba 0.0000 0.0000 0.0000  8 Zn 3.13
Zr 0.5000 0.5000 0.5000  8 Zn 3.13
Zn 0.2500 0.2500 0.2500  4 Zr 3.13, 4 Ba 3.13
Zn 0.7500 0.7500 0.7500  4 Zr 3.13, 4 Ba 3.13

---

(2)
VASP calculation (GGA-PBEsol) on a geometry-optimized BaZr2Zn structure.

Formation energy (eV per atom): 0.57
Density of states at the Fermi level (states/eV per atom): 1.1269
Final energy (eV per atom): -4.911

Lattice parameters (Å, degrees): 5.1897 5.1897 3.3306 90.00 90.00 90.00
With the nearest neighbours (Å) after each atom.
Positions (direct):
Ba 0.0000 0.0000 0.0000  8 Zr 3.08, 2 Ba 3.33
Zr 0.0000 0.5000 0.5000  4 Ba 3.08, 4 Zn 3.08, 2 Zr 3.33
Zr 0.5000 0.0000 0.5000  4 Ba 3.08, 4 Zn 3.08, 2 Zr 3.33
Zn 0.5000 0.5000 0.0000  8 Zr 3.08, 2 Zn 3.33

---

(3)
VASP calculation (GGA-PBEsol) on a geometry-optimized BaZr2Zn structure.

Formation energy (eV per atom): 0.24
Density of states at the Fermi level (states/eV per atom): 0.9020
Final energy (eV per atom): -5.242

Lattice parameters (Å, degrees): 6.3590 6.3590 6.3590 149.52 130.09 59.62
With the nearest neighbours (Å) after each atom.
Positions (direct):
Ba 0.0000 0.0000 0.0000  4 Zn 3.16, 2 Ba 3.34
Zr 0.2871 0.7871 0.5000  2 Zn 2.88
Zr 0.7129 0.2129 0.5000  2 Zn 2.88
Zn 0.5000 0.5000 0.0000  4 Zr 2.88, 4 Ba 3.16

---

(4)
VASP calculation (GGA-PBEsol) on a geometry-optimized Ba2Zr structure.

Formation energy (eV per atom): 0.49
Density of states at the Fermi level (states/eV per atom): 1.4783
Final energy (eV per atom): -3.970

Lattice parameters (Å, degrees): 7.1808 7.1808 7.1808 98.62 98.62 134.43
With the nearest neighbours (Å) after each atom.
Positions (direct):
Ba 0.1587 0.6587 0.8174  6 Ba 3.68-4.07, 4 Zr 3.79
Ba 0.3413 0.1587 0.5000  6 Ba 3.68-4.07, 4 Zr 3.79
Ba 0.6587 0.8413 0.5000  6 Ba 3.68-4.07, 4 Zr 3.79
Ba 0.8413 0.3413 0.1826  6 Ba 3.68-4.07, 4 Zr 3.79
Zr 0.2500 0.2500 0.0000  2 Zr 2.78
Zr 0.7500 0.7500 0.0000  2 Zr 2.78

---

(5)
VASP calculation (GGA-PBEsol) on a geometry-optimized BaZr structure.

Formation energy (eV per atom): 0.58
Density of states at the Fermi level (states/eV per atom): 1.4288
Final energy (eV per atom): -5.037

Lattice parameters (Å, degrees): 6.5422 6.5422 6.5324 104.93 104.93 29.94
With the nearest neighbours (Å) after each atom.
Positions (direct):
Ba 0.1066 0.1066 0.3293  2 Ba 3.38, 5 Zr 3.53-3.71
Ba 0.8934 0.8934 0.6707  2 Ba 3.38, 5 Zr 3.53-3.71
Zr 0.3382 0.3382 0.1232  2 Zr 2.92
Zr 0.6618 0.6618 0.8768  2 Zr 2.92

---

(6)
VASP calculation (GGA-PBEsol) on a geometry-optimized BaZr structure.

Formation energy (eV per atom): 0.70
Density of states at the Fermi level (states/eV per atom): 1.6182
Final energy (eV per atom): -4.914

Lattice parameters (Å, degrees): 6.2149 6.2149 6.2149 32.27 32.27 32.27
With the nearest neighbours (Å) after each atom.
Positions (direct):
Ba 0.0000 0.0000 0.0000  6 Ba 3.45, 6 Zr 3.56
Zr 0.5000 0.5000 0.5000  6 Zr 3.45, 6 Ba 3.56

---

(7)
VASP calculation (GGA-PBEsol) on a geometry-optimized Ba2Zr structure.

Formation energy (eV per atom): 0.66
Density of states at the Fermi level (states/eV per atom): 1.7739
Final energy (eV per atom): -3.803

Lattice parameters (Å, degrees): 10.2493 10.2493 6.1855 90.00 90.00 159.84
With the nearest neighbours (Å) after each atom.
Positions (direct):
Ba 0.0479 0.9521 0.7500  6 Ba 3.59-3.88, 6 Zr 3.83-3.86
Ba 0.2819 0.7181 0.2500  8 Ba 3.59-3.88, 4 Zr 3.67-3.73
Ba 0.7181 0.2819 0.7500  8 Ba 3.59-3.88, 4 Zr 3.67-3.73
Ba 0.9521 0.0479 0.2500  6 Ba 3.59-3.88, 6 Zr 3.83-3.86
Zr 0.3800 0.6200 0.7500  2 Zr 3.59, 10 Ba 3.67-3.86
Zr 0.6200 0.3800 0.2500  2 Zr 3.59, 10 Ba 3.67-3.86

---

(8)
VASP calculation (GGA-PBEsol) on a geometry-optimized Ba3Zr structure.

Formation energy (eV per atom): 0.58
Density of states at the Fermi level (states/eV per atom): 1.6842
Final energy (eV per atom): -3.308

Lattice parameters (Å, degrees): 5.4636 5.4636 5.4636 90.00 90.00 90.00
With the nearest neighbours (Å) after each atom.
Positions (direct):
Ba 0.0000 0.0000 0.5000  4 Zr 3.86, 8 Ba 3.86
Ba 0.0000 0.5000 0.0000  4 Zr 3.86, 8 Ba 3.86
Ba 0.5000 0.0000 0.0000  4 Zr 3.86, 8 Ba 3.86
Zr 0.5000 0.5000 0.5000  12 Ba 3.86

---

(9)
VASP calculation (GGA-PBEsol) on a geometry-optimized BaZr structure.

Formation energy (eV per atom): 0.36
Density of states at the Fermi level (states/eV per atom): 1.6342
Final energy (eV per atom): -5.254

Lattice parameters (Å, degrees): 3.8922 3.8922 9.3745 90.00 90.00 90.00
With the nearest neighbours (Å) after each atom.
Positions (direct):
Ba 0.2500 0.2500 0.1828  5 Zr 3.51-3.68, 4 Ba 3.89
Ba 0.7500 0.7500 0.8172  5 Zr 3.51-3.68, 4 Ba 3.89
Zr 0.2500 0.2500 0.5571  4 Zr 2.95
Zr 0.7500 0.7500 0.4429  4 Zr 2.95

---

(10)
VASP calculation (GGA-PBEsol) on a geometry-optimized BaZr structure.

Formation energy (eV per atom): 0.75
Density of states at the Fermi level (states/eV per atom): 1.3099
Final energy (eV per atom): -4.870

Lattice parameters (Å, degrees): 5.6548 5.6548 5.6548 60.00 60.00 60.00
With the nearest neighbours (Å) after each atom.
Positions (direct):
Ba 0.1250 0.1250 0.1250  4 Zr 3.46, 4 Ba 3.46
Ba 0.8750 0.8750 0.8750  4 Zr 3.46, 4 Ba 3.46
Zr 0.3750 0.3750 0.3750  4 Ba 3.46, 4 Zr 3.46
Zr 0.6250 0.6250 0.6250  4 Zr 3.46, 4 Ba 3.46

---

(11)
VASP calculation (GGA-PBEsol) on a geometry-optimized BaZr structure.

Formation energy (eV per atom): 2.17
Density of states at the Fermi level (states/eV per atom): 1.1667
Final energy (eV per atom): -3.446

Lattice parameters (Å, degrees): 4.5274 4.5274 4.5274 60.00 60.00 60.00
With the nearest neighbours (Å) after each atom.
Positions (direct):
Ba 0.0000 0.0000 0.0000  4 Zr 2.77
Zr 0.2500 0.2500 0.2500  4 Ba 2.77

---

(12)
VASP calculation (GGA-PBEsol) on a geometry-optimized Be structure.

Formation energy (eV per atom): 0.06
Density of states at the Fermi level (states/eV per atom): 0.0974
Final energy (eV per atom): -3.944

Lattice parameters (Å, degrees): 3.7623 3.7623 2.2508 90.00 90.00 90.00
With the nearest neighbours (Å) after each atom.
Positions (direct):
Be 0.2010 0.2010 0.0000  11 Be 2.14-2.25
Be 0.2990 0.7010 0.5000  11 Be 2.14-2.25
Be 0.7010 0.2990 0.5000  11 Be 2.14-2.25
Be 0.7990 0.7990 0.0000  11 Be 2.14-2.25

---

density of states at the Fermi level of number 5 (BaZr)?
1.4288 states/eV per atom

---

Look up the final energy of the first one.
-3.359 eV per atom

---

Which value of density of states at the Fermi level does entry 4 give?
1.4783 states/eV per atom

---

density of states at the Fermi level of number 5 (BaZr)?
1.4288 states/eV per atom